# 1
A plane-wave DFT calculation with PBE-GGA was carried out for crystalline CuWBr2 at its relaxed geometry.

Structure (extended XYZ):
```
4
Lattice="3.151 0.000 0.000 0.000 6.218 0.000 0.000 0.000 4.306" Properties=species:S:1:pos:R:3 pbc="T T T"
W 0.000 3.109 2.153
Br 1.576 3.109 0.000
Br 0.000 0.000 0.000
Cu 1.576 0.000 2.153
```

Output
Crystal system ... orthorhombic
E above lowest polymorph ... 315 kJ/mol of formula units
Formation energy (no corrections) ... 1.09 eV/atom

***

# 2
A plane-wave DFT calculation with PBE-GGA was carried out for crystalline Pa3Ga5Hg at its relaxed geometry.

Structure (extended XYZ):
```
18
Lattice="6.041 0.000 0.000 0.000 8.600 0.000 0.000 -4.300 7.448" Properties=species:S:1:pos:R:3 pbc="T T T"
Ga 0.000 4.300 2.483
Ga 4.531 1.266 2.193
Ga 4.531 6.067 0.000
Ga 0.000 0.000 4.965
Ga 4.531 -3.034 5.254
Ga 3.021 0.000 4.965
Ga 1.510 2.533 0.000
Ga 1.510 -1.266 2.193
Ga 3.021 4.300 2.483
Ga 1.510 3.034 5.254
Pa 4.531 2.689 4.657
Pa 1.510 -2.689 4.657
Pa 4.531 -1.611 2.791
Pa 1.510 5.377 0.000
Pa 4.531 3.223 0.000
Pa 1.510 1.611 2.791
Hg 0.000 0.000 0.000
Hg 3.021 0.000 0.000
```

Output
Crystal system ... hexagonal
DFT formation energy ... -0.159 eV per atom